Computed, not measured: a relaxed LiMn2B2O6 crystal at the PBE+U level of DFT.

Geometry as CIF:
```
data_LiMn2B2O6
_chemical_formula_sum 'Li2 Mn4 B4 O12'
_cell_length_a 5.310
_cell_length_b 5.780
_cell_length_c 8.113
_cell_angle_alpha 78.00
_cell_angle_beta 90.00
_cell_angle_gamma 89.78
_space_group_name_H-M_alt 'P 1'
_space_group_IT_number 1
_space_group_name_Hall 'P 1'
loop_
_atom_site_label
_atom_site_fract_x
_atom_site_fract_y
_atom_site_fract_z
Li1 0.000 0.000 0.000
Li2 0.290 0.861 0.500
Mn1 0.351 0.575 0.845
Mn2 0.478 0.708 0.203
Mn3 0.815 0.132 0.302
Mn4 0.942 0.295 0.656
B1 0.327 0.245 0.174
B2 0.473 0.076 0.855
B3 0.827 0.788 0.651
B4 0.957 0.618 0.326
O1 0.074 0.247 0.140
O2 0.199 0.604 0.376
O3 0.310 0.264 0.786
O4 0.344 0.868 0.941
O5 0.441 0.071 0.295
O6 0.476 0.419 0.077
O7 0.572 0.748 0.651
O8 0.725 0.095 0.851
O9 0.786 0.433 0.379
O10 0.849 0.824 0.225
O11 0.939 0.987 0.547
O12 0.992 0.617 0.738
```

Values from the calculation:
The calculation puts the relative energy among the computed polymorphs at 1 meV per atom. For the total magnetization, the calculation gives 0.818 μB per atom.